# Ca2Tm2Hg7 PBE optimized geometry
# Energy of formation (eV/atom): -0.113
# Final energy (eV per cell): -16.30
data_Ca2Tm2Hg7
_chemical_formula_sum 'Ca2 Tm2 Hg7'
_cell_length_a 6.704
_cell_length_b 6.704
_cell_length_c 7.618
_cell_angle_alpha 90.00
_cell_angle_beta 90.00
_cell_angle_gamma 102.13
_space_group_name_H-M_alt 'P 1'
_space_group_IT_number 1
loop_
_space_group_symop_operation_xyz
'x,y,z'
loop_
_atom_site_label
_atom_site_fract_x
_atom_site_fract_y
_atom_site_fract_z
_atom_site_occupancy
Ca1 0.199 0.801 0.000 1
Ca2 0.801 0.199 0.000 1
Tm1 0.303 0.303 0.500 1
Tm2 0.697 0.697 0.500 1
Hg1 0.000 0.000 0.298 1
Hg2 0.000 0.000 0.702 1
Hg3 0.000 0.500 0.297 1
Hg4 0.000 0.500 0.703 1
Hg5 0.500 0.000 0.297 1
Hg6 0.500 0.000 0.703 1
Hg7 0.500 0.500 0.000 1

# CaTm2Hg2 PBE optimized geometry
# Energy of formation (eV/atom): -0.396
# Final energy (eV per cell): -27.05
data_CaTm2Hg2
_chemical_formula_sum 'Ca2 Tm4 Hg4'
_cell_length_a 3.677
_cell_length_b 5.345
_cell_length_c 13.795
_cell_angle_alpha 90.00
_cell_angle_beta 97.63
_cell_angle_gamma 90.00
_space_group_name_H-M_alt 'P 1'
_space_group_IT_number 1
loop_
_space_group_symop_operation_xyz
'x,y,z'
loop_
_atom_site_label
_atom_site_fract_x
_atom_site_fract_y
_atom_site_fract_z
_atom_site_occupancy
Ca1 0.144 0.250 0.289 1
Ca2 0.856 0.750 0.711 1
Tm1 0.048 0.750 0.096 1
Tm2 0.233 0.750 0.466 1
Tm3 0.767 0.250 0.534 1
Tm4 0.952 0.250 0.904 1
Hg1 0.357 0.250 0.714 1
Hg2 0.454 0.750 0.911 1
Hg3 0.546 0.250 0.089 1
Hg4 0.643 0.750 0.286 1

# CaTmHg PBE optimized geometry
# Energy above the lowest structure with this stoichiometry (meV per atom): 0
# Energy of formation (eV/atom): -0.291
# Final energy (eV per cell): -7.65
data_CaTmHg
_chemical_formula_sum 'Ca1 Tm1 Hg1'
_cell_length_a 6.981
_cell_length_b 6.981
_cell_length_c 6.981
_cell_angle_alpha 149.15
_cell_angle_beta 149.15
_cell_angle_gamma 44.19
_space_group_name_H-M_alt 'P 1'
_space_group_IT_number 1
loop_
_space_group_symop_operation_xyz
'x,y,z'
loop_
_atom_site_label
_atom_site_fract_x
_atom_site_fract_y
_atom_site_fract_z
_atom_site_occupancy
Ca1 0.000 0.000 0.000 1
Tm1 0.284 0.284 0.000 1
Hg1 0.658 0.658 0.000 1

# CaTm2ZnHg4 PBE optimized geometry
# Energy of formation (eV/atom): -0.372
# Final energy (eV per cell): -16.40
data_CaTm2ZnHg4
_chemical_formula_sum 'Ca1 Tm2 Zn1 Hg4'
_cell_length_a 8.946
_cell_length_b 8.946
_cell_length_c 8.946
_cell_angle_alpha 33.13
_cell_angle_beta 33.13
_cell_angle_gamma 33.13
_space_group_name_H-M_alt 'P 1'
_space_group_IT_number 1
loop_
_space_group_symop_operation_xyz
'x,y,z'
loop_
_atom_site_label
_atom_site_fract_x
_atom_site_fract_y
_atom_site_fract_z
_atom_site_occupancy
Ca1 0.000 0.000 0.000 1
Tm1 0.244 0.244 0.244 1
Tm2 0.756 0.756 0.756 1
Zn1 0.500 0.500 0.500 1
Hg1 0.124 0.124 0.124 1
Hg2 0.375 0.375 0.375 1
Hg3 0.625 0.625 0.625 1
Hg4 0.876 0.876 0.876 1

# CaTmZnHg PBE optimized geometry
# Energy above the lowest structure with this stoichiometry (meV per atom): 0
# Energy of formation (eV/atom): -0.412
# Final energy (eV per cell): -9.70
data_CaTmZnHg
_chemical_formula_sum 'Ca1 Tm1 Zn1 Hg1'
_cell_length_a 3.671
_cell_length_b 3.671
_cell_length_c 7.295
_cell_angle_alpha 90.00
_cell_angle_beta 90.00
_cell_angle_gamma 90.00
_space_group_name_H-M_alt 'P 1'
_space_group_IT_number 1
loop_
_space_group_symop_operation_xyz
'x,y,z'
loop_
_atom_site_label
_atom_site_fract_x
_atom_site_fract_y
_atom_site_fract_z
_atom_site_occupancy
Ca1 0.000 0.000 0.000 1
Tm1 0.000 0.000 0.481 1
Zn1 0.500 0.500 0.264 1
Hg1 0.500 0.500 0.724 1

# CaTmZnHg PBE optimized geometry
# Energy above the lowest structure with this stoichiometry (meV per atom): 21
# Energy of formation (eV/atom): -0.391
# Final energy (eV per cell): -9.61
data_CaTmZnHg
_chemical_formula_sum 'Ca1 Tm1 Zn1 Hg1'
_cell_length_a 5.174
_cell_length_b 5.174
_cell_length_c 5.174
_cell_angle_alpha 60.00
_cell_angle_beta 60.00
_cell_angle_gamma 60.00
_space_group_name_H-M_alt 'P 1'
_space_group_IT_number 1
loop_
_space_group_symop_operation_xyz
'x,y,z'
loop_
_atom_site_label
_atom_site_fract_x
_atom_site_fract_y
_atom_site_fract_z
_atom_site_occupancy
Ca1 0.000 0.000 0.000 1
Tm1 0.500 0.500 0.500 1
Zn1 0.250 0.250 0.250 1
Hg1 0.750 0.750 0.750 1

# CaUHg6 PBE optimized geometry
# Energy of formation (eV/atom): 0.152
# Final energy (eV per cell): -13.88
data_CaUHg6
_chemical_formula_sum 'Ca1 U1 Hg6'
_cell_length_a 8.950
_cell_length_b 8.950
_cell_length_c 8.950
_cell_angle_alpha 39.54
_cell_angle_beta 39.54
_cell_angle_gamma 39.54
_space_group_name_H-M_alt 'P 1'
_space_group_IT_number 1
loop_
_space_group_symop_operation_xyz
'x,y,z'
loop_
_atom_site_label
_atom_site_fract_x
_atom_site_fract_y
_atom_site_fract_z
_atom_site_occupancy
Ca1 0.000 0.000 0.000 1
U1 0.500 0.500 0.500 1
Hg1 0.064 0.064 0.557 1
Hg2 0.064 0.557 0.064 1
Hg3 0.443 0.936 0.936 1
Hg4 0.557 0.064 0.064 1
Hg5 0.936 0.443 0.936 1
Hg6 0.936 0.936 0.443 1

# Ca3VHg PBE optimized geometry
# Energy above the lowest structure with this stoichiometry (meV per atom): 48
# Energy of formation (eV/atom): 0.558
# Final energy (eV per cell): -12.64
data_Ca3VHg
_chemical_formula_sum 'Ca3 V1 Hg1'
_cell_length_a 5.804
_cell_length_b 5.804
_cell_length_c 5.804
_cell_angle_alpha 90.00
_cell_angle_beta 90.00
_cell_angle_gamma 90.00
_space_group_name_H-M_alt 'P 1'
_space_group_IT_number 1
loop_
_space_group_symop_operation_xyz
'x,y,z'
loop_
_atom_site_label
_atom_site_fract_x
_atom_site_fract_y
_atom_site_fract_z
_atom_site_occupancy
Ca1 0.000 0.000 0.500 1
Ca2 0.000 0.500 0.000 1
Ca3 0.500 0.000 0.000 1
V1 0.000 0.000 0.000 1
Hg1 0.500 0.500 0.500 1